A geometry-optimized NpTl2Fe2Se4 structure, computed with PBE.

a b c (Å): 3.949 8.203 7.742
angles (deg): 108.10 104.77 90.00
Site moments in Bohr magnetons follow the coordinates.
Fractional positions:
Fe  0.308  0.020  0.615  2.79
Fe  0.692  0.980  0.385  2.79
Se  0.802  0.817  0.604  0.03
Se  0.470  0.229  0.941  -0.03
Se  0.530  0.771  0.059  -0.03
Se  0.198  0.183  0.396  0.03
Tl  0.863  0.423  0.726  0.00
Tl  0.137  0.577  0.274  0.00
Np  0.000  0.000  0.000  3.72

Values from the calculation:
Energy: -5.885 eV per atom
Magnetization: 9.68 μB/f.u.
Calculated volume: 229.64 Å³/f.u.
Space group: C2/m (12)
D(E_F): 12.328 states/eV/f.u.

***

A geometry-optimized PmZrRh4 structure, computed with PBE.

a b c (Å): 5.311 5.311 5.311
angles (deg): 60.00 60.00 60.00
Fractional positions:
Zr  0.250  0.250  0.250
Pm  0.000  0.000  0.000
Rh  0.625  0.625  0.126
Rh  0.625  0.625  0.625
Rh  0.126  0.625  0.625
Rh  0.625  0.126  0.625

Values from the calculation:
Magnetization: 0.00 μB/f.u.
Calculated volume: 105.95 Å³/f.u.
Space group: F-43m (216)
D(E_F): 3.084 states/eV/f.u.
ΔE_f: -3.6 eV per formula unit

***

A geometry-optimized YScMo2 structure, computed with PBE.

a b c (Å): 5.467 5.467 5.180
angles (deg): 67.32 67.32 37.95
Fractional positions:
Y  0.750  0.750  0.750
Sc  0.250  0.250  0.250
Mo  0.506  0.506  0.417
Mo  0.994  0.994  0.083

Values from the calculation:
Magnetization: 0.00 μB/f.u.
Calculated volume: 86.93 Å³/f.u.
Energy relative to the lowest polymorph listed for this composition: 289 meV/atom
Space group: C2/m (12)
D(E_F): 3.150 states/eV/f.u.
ΔE_f: 1.4 eV per formula unit

***

What did the third record say?
A geometry-optimized YScMo2 structure, computed with PBE.

a b c (Å): 5.467 5.467 5.180
angles (deg): 67.32 67.32 37.95
Fractional positions:
Y  0.750  0.750  0.750
Sc  0.250  0.250  0.250
Mo  0.506  0.506  0.417
Mo  0.994  0.994  0.083

Values from the calculation:
Magnetization: 0.00 μB/f.u.
Calculated volume: 86.93 Å³/f.u.
Energy relative to the lowest polymorph listed for this composition: 289 meV/atom
Space group: C2/m (12)
D(E_F): 3.150 states/eV/f.u.
ΔE_f: 1.4 eV per formula unit

***

Q: Number 1 is which compound?
A: NpTl2Fe2Se4